1.
A geometry-optimized Zr2AsPb2 structure. Source: Alexandria via LeMat-Bulk, functional PBE.

Summary:
theoretical density = 9.141 Mg/m³

```
data_Zr2AsPb2
_chemical_formula_sum 'Zr4 As2 Pb4'
_cell_length_a 7.149
_cell_length_b 7.149
_cell_length_c 4.775
_cell_angle_alpha 90.00
_cell_angle_beta 90.00
_cell_angle_gamma 90.00
_symmetry_space_group_name_H-M 'P 4/m b m'
_symmetry_Int_Tables_number 127
_symmetry_space_group_name_Hall '-P 4 2ab'
loop_
_atom_site_label
_atom_site_type_symbol
_atom_site_fract_x
_atom_site_fract_y
_atom_site_fract_z
Zr1 Zr 0.157 0.343 0.000
As1 As 0.000 0.000 0.000
Pb1 Pb 0.158 0.658 0.500
```

=====

2.
A geometry-optimized ZrAsPb structure. Source: Alexandria via LeMat-Bulk, functional PBE.

Summary:
offset from the most stable computed form = 274 meV per atom
theoretical density = 8.311 Mg/m³

```
data_ZrAsPb
_chemical_formula_sum 'Zr1 As1 Pb1'
_cell_length_a 4.6047
_cell_length_b 4.6047
_cell_length_c 4.0626
_cell_angle_alpha 90.00
_cell_angle_beta 90.00
_cell_angle_gamma 120.00
_symmetry_space_group_name_H-M 'P -6 m 2'
_symmetry_Int_Tables_number 187
_symmetry_space_group_name_Hall 'P -6 2'
loop_
_atom_site_label
_atom_site_type_symbol
_atom_site_fract_x
_atom_site_fract_y
_atom_site_fract_z
Zr1 Zr 0.0000 0.0000 0.0000
As1 As 0.3333 0.6667 0.0000
Pb1 Pb 0.6667 0.3333 0.5000
```

=====

3.
A geometry-optimized Zr2As2Pb structure. Source: Alexandria via LeMat-Bulk, functional PBE.

Summary:
offset from the most stable computed form = 55 meV per atom
theoretical density = 7.823 Mg/m³

```
data_Zr2As2Pb
_chemical_formula_sum 'Zr4 As4 Pb2'
_cell_length_a 5.082
_cell_length_b 5.082
_cell_length_c 8.866
_cell_angle_alpha 90.00
_cell_angle_beta 90.00
_cell_angle_gamma 90.00
_symmetry_space_group_name_H-M 'I 4/m m m'
_symmetry_Int_Tables_number 139
_symmetry_space_group_name_Hall '-I 4 2'
loop_
_atom_site_label
_atom_site_type_symbol
_atom_site_fract_x
_atom_site_fract_y
_atom_site_fract_z
Zr1 Zr 0.000 0.500 0.250
As1 As 0.000 0.000 0.140
Pb1 Pb 0.000 0.000 0.500
```

=====

Formation energy from the elements per entry: -0.331, -0.226, -0.557 eV per atom